The following is a PBE-GGA calculation of CsMoN2 after structural relaxation, from Alexandria.

- SG = R-3m
- energy relative to the lowest polymorph listed for this composition (meV/atom) = 787.7
- E (eV for the cell shown) = -26.93
- M_tot (μB/atom) = 0.150
- raw formation energy (eV/f.u.) = 1.40

abc: 7.7552 7.7552 7.7552
angles: 24.16 24.16 24.16
With the nearest neighbours (Å) after each atom.
Positions (direct):
Mo 0.5000 0.5000 0.5000  6 N 2.11
Cs 0.0000 0.0000 0.0000  2 N 2.79
N 0.8766 0.8766 0.8766  3 Mo 2.11
N 0.1234 0.1234 0.1234  3 Mo 2.11



The following is a PBE-GGA calculation of Ti4Tc3Ru after structural relaxation, from Alexandria.

- energy of formation from the pure elements (eV per atom) = -0.57
- SG = Pmmm
- E (eV for the cell shown) = -76.50
- M_tot (μB/atom) = 0.000

abc: 3.0939 4.3840 8.7762
angles: 90.00 90.00 90.00
With the nearest neighbours (Å) after each atom.
Positions (direct):
Tc 0.5000 0.0000 0.7512  8 Ti 2.68-2.69
Tc 0.5000 0.5000 0.5000  8 Ti 2.68-2.69
Tc 0.5000 0.0000 0.2488  8 Ti 2.68-2.69
Ti 0.0000 0.5000 0.2497  2 Ru 2.68, 6 Tc 2.68-2.69
Ti 0.0000 0.5000 0.7503  2 Ru 2.68, 6 Tc 2.68-2.69
Ti 0.0000 0.0000 0.5000  8 Tc 2.68-2.69
Ti 0.0000 0.0000 0.0000  4 Tc 2.68, 4 Ru 2.68
Ru 0.5000 0.5000 0.0000  8 Ti 2.68



The following is a PBE-GGA calculation of KBa2Cd2Pb2 after structural relaxation, from Alexandria.

- energy of formation from the pure elements (eV per atom) = -0.27
- SG = R-3m
- E (eV for the cell shown) = -16.11
- M_tot (μB/atom) = 0.104

abc: 5.3315 5.3315 11.6407
angles: 76.76 76.76 60.00
With the nearest neighbours (Å) after each atom.
Positions (direct):
Pb 0.7445 0.7445 0.7666  3 Cd 3.09
Pb 0.2555 0.2555 0.2334  3 Cd 3.09
K 0.0000 0.0000 0.0000  6 Cd 3.86, 6 Pb 4.04, 2 Ba 4.28
Ba 0.1271 0.1271 0.6186  3 Pb 3.50, 3 Cd 3.64
Ba 0.8729 0.8729 0.3814  3 Pb 3.50, 3 Cd 3.64
Cd 0.5975 0.5975 0.2075  3 Pb 3.09
Cd 0.4025 0.4025 0.7925  3 Pb 3.09



The following is a PBE-GGA calculation of ZnSICl2 after structural relaxation, from Alexandria.

- SG = P4/mmm
- energy relative to the lowest polymorph listed for this composition (meV/atom) = 0.0
- E (eV for the cell shown) = -10.99
- M_tot (μB/atom) = 0.000
- raw formation energy (eV/f.u.) = -0.35

abc: 4.4987 4.4987 6.4985
angles: 90.00 90.00 90.00
With the nearest neighbours (Å) after each atom.
Positions (direct):
Zn 0.0000 0.0000 0.0000  4 Cl 2.25
Cl 0.0000 0.5000 0.0000  2 Zn 2.25
Cl 0.5000 0.0000 0.0000  2 Zn 2.25
S 0.0000 0.0000 0.5000  4 I 3.18, 2 Zn 3.25
I 0.5000 0.5000 0.5000  4 S 3.18



The following is a PBE-GGA calculation of La2InAg2Pd5 after structural relaxation, from Alexandria.

- energy of formation from the pure elements (eV per atom) = -0.54
- SG = P4/mbm
- E (eV for the cell shown) = -99.29
- M_tot (μB/atom) = 0.000

abc: 4.0033 10.0704 10.0704
angles: 90.00 90.00 90.00
With the nearest neighbours (Å) after each atom.
Positions (direct):
Pd 0.5000 0.2006 0.0520  2 Ag 2.75, 2 In 2.89, 3 Pd 2.95-3.06
Pd 0.5000 0.9480 0.2006  2 Ag 2.75, 2 In 2.89, 3 Pd 2.95-3.06
Pd 0.5000 0.5520 0.7006  2 Ag 2.75, 2 In 2.89, 3 Pd 2.95-3.06
Pd 0.5000 0.2994 0.5520  2 Ag 2.75, 2 In 2.89, 3 Pd 2.95-3.06
Pd 0.5000 0.7994 0.9480  2 Ag 2.75, 2 In 2.89, 3 Pd 2.95-3.06
Pd 0.5000 0.0520 0.7994  2 Ag 2.75, 2 In 2.89, 3 Pd 2.95-3.06
Pd 0.5000 0.7006 0.4480  2 Ag 2.75, 2 In 2.89, 3 Pd 2.95-3.06
Pd 0.5000 0.0000 0.5000  4 Ag 2.70
Pd 0.5000 0.4480 0.2994  2 Ag 2.75, 2 In 2.89, 3 Pd 2.95-3.06
Pd 0.5000 0.5000 0.0000  4 Ag 2.70
La 0.0000 0.3278 0.8278  3 Ag 2.85-3.05, 2 Pd 3.17
La 0.0000 0.1722 0.3278  3 Ag 2.85-3.05, 2 Pd 3.17
La 0.0000 0.8278 0.6722  3 Ag 2.85-3.05, 2 Pd 3.17
La 0.0000 0.6722 0.1722  3 Ag 2.85-3.05, 2 Pd 3.17
In 0.0000 0.0000 0.0000  8 Pd 2.89
In 0.0000 0.5000 0.5000  8 Pd 2.89
Ag 0.0000 0.3726 0.1274  6 Pd 2.70-2.75, 1 La 2.85
Ag 0.0000 0.6274 0.8726  6 Pd 2.70-2.75, 1 La 2.85
Ag 0.0000 0.1274 0.6274  6 Pd 2.70-2.75, 1 La 2.85
Ag 0.0000 0.8726 0.3726  6 Pd 2.70-2.75, 1 La 2.85



The following is a PBE-GGA calculation of SiPH2 after structural relaxation, from Alexandria.

- SG = C2
- energy relative to the lowest polymorph listed for this composition (meV/atom) = 0.0
- E (eV for the cell shown) = -16.46
- M_tot (μB/atom) = 0.250

abc: 3.5149 4.6344 5.1446
angles: 56.30 89.97 89.78
With the nearest neighbours (Å) after each atom.
Positions (direct):
H 0.2890 0.7194 0.4150  1 Si 1.50
H 0.2858 0.3532 0.0976  1 Si 1.50
Si 0.2872 0.0366 0.4257  2 H 1.50
P 0.7870 0.0366 0.7012  2 Si 2.26



The following is a PBE-GGA calculation of Ta2AlPb after structural relaxation, from Alexandria.

- energy of formation from the pure elements (eV per atom) = 0.17
- SG = P4mm
- E (eV for the cell shown) = -30.49
- M_tot (μB/atom) = 0.000

abc: 3.5882 3.5867 6.0689
angles: 90.00 90.00 90.00
With the nearest neighbours (Å) after each atom.
Positions (direct):
Ta 0.5000 0.5000 0.2455  4 Ta 2.85, 4 Al 2.91, 2 Pb 3.03-3.04
Ta 0.0000 0.0000 0.0303  1 Al 2.73, 4 Ta 2.85
Pb 0.5000 0.5000 0.7446  4 Al 3.00, 6 Ta 3.03-3.07
Al 0.0000 0.0000 0.4796  5 Ta 2.73-2.91, 4 Pb 3.00



The following is a PBE-GGA calculation of Sm2AlAg6 after structural relaxation, from Alexandria.

- energy of formation from the pure elements (eV per atom) = -0.22
- SG = P-3m1
- E (eV for the cell shown) = -32.25
- M_tot (μB/atom) = 0.000

abc: 5.9931 6.0734 6.0734
angles: 59.99 89.99 89.99
With the nearest neighbours (Å) after each atom.
Positions (direct):
Ag 0.3209 0.3532 0.8234  1 Al 2.67, 4 Ag 2.84-2.86
Ag 0.3209 0.8234 0.3532  1 Al 2.67, 4 Ag 2.84-2.86
Ag 0.3209 0.8233 0.8233  1 Al 2.67, 4 Ag 2.84-2.86
Ag 0.6791 0.6468 0.1766  1 Al 2.67, 4 Ag 2.84-2.86
Ag 0.6791 0.1767 0.1767  1 Al 2.67, 4 Ag 2.84-2.86
Ag 0.6791 0.1766 0.6468  1 Al 2.67, 4 Ag 2.84-2.86
Al 0.0000 0.0000 0.0000  6 Ag 2.67
Sm 0.1483 0.3333 0.3333  12 Ag 3.21-3.58
Sm 0.8517 0.6667 0.6667  12 Ag 3.21-3.58



The following is a PBE-GGA calculation of CsLiIrI2 after structural relaxation, from Alexandria.

- SG = P4/mmm
- E (eV for the cell shown) = -10.95
- M_tot (μB/atom) = 0.384
- raw formation energy (eV/f.u.) = 3.78

abc: 7.0542 5.4158 7.0542
angles: 90.00 90.00 90.00
With the nearest neighbours (Å) after each atom.
Positions (direct):
Cs 0.0000 0.0000 0.0000  2 Ir 2.71
Li 0.5000 0.5000 0.5000  8 I 4.45
I 0.0000 0.0000 0.5000  2 Cs 3.53
I 0.5000 0.0000 0.0000  2 Cs 3.53
Ir 0.0000 0.5000 0.0000  2 Cs 2.71



The following is a PBE-GGA calculation of Ce4TcOs after structural relaxation, from Alexandria.

- energy of formation from the pure elements (eV per atom) = 0.02
- SG = Cmc2_1
- energy relative to the lowest polymorph listed for this composition (meV/atom) = 147.1
- E (eV for the cell shown) = -90.42
- M_tot (μB/atom) = 0.000

abc: 5.1076 5.9838 10.1579
angles: 90.00 104.56 90.00
With the nearest neighbours (Å) after each atom.
Positions (direct):
Ce 0.2950 0.6097 0.5901  3 Ce 2.69-2.95, 1 Os 2.97
Ce 0.2787 0.0559 0.5574  3 Ce 2.69-2.95
Ce 0.4463 0.8302 0.8926  1 Os 2.59
Ce 0.5537 0.3302 0.1074  1 Os 2.59
Ce 0.7050 0.1097 0.4099  3 Ce 2.69-2.95, 1 Os 2.97
Ce 0.8912 0.2374 0.7823  1 Tc 2.42, 2 Os 2.70
Ce 0.7213 0.5559 0.4426  3 Ce 2.69-2.95
Ce 0.1088 0.7373 0.2177  1 Tc 2.42, 2 Os 2.70
Os 0.5779 0.8416 0.1558  3 Ce 2.59-2.70
Os 0.4221 0.3416 0.8442  3 Ce 2.59-2.70
Tc 0.1518 0.3587 0.3035  1 Ce 2.42
Tc 0.8482 0.8587 0.6965  1 Ce 2.42



The following is a PBE-GGA calculation of La2Zn12Cu5 after structural relaxation, from Alexandria.

- energy of formation from the pure elements (eV per atom) = -0.24
- SG = R-3m
- E (eV for the cell shown) = -50.12
- M_tot (μB/atom) = 0.000

abc: 6.7980 6.7980 6.7980
angles: 82.81 82.81 82.81
With the nearest neighbours (Å) after each atom.
Positions (direct):
Cu 0.0000 0.5000 0.0000  8 Zn 2.57, 2 Cu 2.74
Cu 0.8998 0.8998 0.8998  4 Cu 2.64-2.74, 9 Zn 2.74-2.88
Cu 0.1002 0.1002 0.1002  4 Cu 2.64-2.74, 9 Zn 2.74-2.88
Cu 0.5000 0.0000 0.0000  8 Zn 2.57, 2 Cu 2.74
Cu 0.0000 0.0000 0.5000  8 Zn 2.57, 2 Cu 2.74
Zn 0.8555 0.3424 0.3424  3 Cu 2.57-2.74, 6 Zn 2.69-2.80
Zn 0.1445 0.6576 0.6576  3 Cu 2.57-2.74, 6 Zn 2.69-2.80
Zn 0.6576 0.1445 0.6576  3 Cu 2.57-2.74, 6 Zn 2.69-2.80
Zn 0.0000 0.7151 0.2849  6 Zn 2.56-2.80, 2 Cu 2.57
Zn 0.3424 0.3424 0.8555  3 Cu 2.57-2.74, 6 Zn 2.69-2.80
Zn 0.6576 0.6576 0.1445  3 Cu 2.57-2.74, 6 Zn 2.69-2.80
Zn 0.2849 0.7151 0.0000  6 Zn 2.56-2.80, 2 Cu 2.57
Zn 0.0000 0.2849 0.7151  6 Zn 2.56-2.80, 2 Cu 2.57
Zn 0.7151 0.0000 0.2849  6 Zn 2.56-2.80, 2 Cu 2.57
Zn 0.7151 0.2849 0.0000  6 Zn 2.56-2.80, 2 Cu 2.57
Zn 0.2849 0.0000 0.7151  6 Zn 2.56-2.80, 2 Cu 2.57
Zn 0.3424 0.8555 0.3424  3 Cu 2.57-2.74, 6 Zn 2.69-2.80
La 0.6607 0.6607 0.6607  4 Cu 3.15-3.45, 15 Zn 3.24-3.51
La 0.3393 0.3393 0.3393  4 Cu 3.15-3.45, 15 Zn 3.24-3.51



The following is a PBE-GGA calculation of YEr3S after structural relaxation, from Alexandria.

- SG = Pm-3m
- E (eV for the cell shown) = -27.46
- M_tot (μB/atom) = 0.159
- raw formation energy (eV/f.u.) = -3.18

abc: 5.2556 5.2556 5.2556
angles: 90.00 90.00 90.00
With the nearest neighbours (Å) after each atom.
Positions (direct):
S 0.0000 0.0000 0.0000  6 Er 2.63
Er 0.0000 0.5000 0.0000  2 S 2.63
Er 0.0000 0.0000 0.5000  2 S 2.63
Er 0.5000 0.0000 0.0000  2 S 2.63
Y 0.5000 0.5000 0.5000  12 Er 3.72



- Among the records above, which one has the highest E?
  CsLiIrI2



- Which value of M_tot does entry 12 give?
  0.159 μB/atom



What did the third record say?
The following is a PBE-GGA calculation of KBa2Cd2Pb2 after structural relaxation, from Alexandria.

- energy of formation from the pure elements (eV per atom) = -0.27
- SG = R-3m
- E (eV for the cell shown) = -16.11
- M_tot (μB/atom) = 0.104

abc: 5.3315 5.3315 11.6407
angles: 76.76 76.76 60.00
With the nearest neighbours (Å) after each atom.
Positions (direct):
Pb 0.7445 0.7445 0.7666  3 Cd 3.09
Pb 0.2555 0.2555 0.2334  3 Cd 3.09
K 0.0000 0.0000 0.0000  6 Cd 3.86, 6 Pb 4.04, 2 Ba 4.28
Ba 0.1271 0.1271 0.6186  3 Pb 3.50, 3 Cd 3.64
Ba 0.8729 0.8729 0.3814  3 Pb 3.50, 3 Cd 3.64
Cd 0.5975 0.5975 0.2075  3 Pb 3.09
Cd 0.4025 0.4025 0.7925  3 Pb 3.09



Copy entry 10 word for word.
The following is a PBE-GGA calculation of Ce4TcOs after structural relaxation, from Alexandria.

- energy of formation from the pure elements (eV per atom) = 0.02
- SG = Cmc2_1
- energy relative to the lowest polymorph listed for this composition (meV/atom) = 147.1
- E (eV for the cell shown) = -90.42
- M_tot (μB/atom) = 0.000

abc: 5.1076 5.9838 10.1579
angles: 90.00 104.56 90.00
With the nearest neighbours (Å) after each atom.
Positions (direct):
Ce 0.2950 0.6097 0.5901  3 Ce 2.69-2.95, 1 Os 2.97
Ce 0.2787 0.0559 0.5574  3 Ce 2.69-2.95
Ce 0.4463 0.8302 0.8926  1 Os 2.59
Ce 0.5537 0.3302 0.1074  1 Os 2.59
Ce 0.7050 0.1097 0.4099  3 Ce 2.69-2.95, 1 Os 2.97
Ce 0.8912 0.2374 0.7823  1 Tc 2.42, 2 Os 2.70
Ce 0.7213 0.5559 0.4426  3 Ce 2.69-2.95
Ce 0.1088 0.7373 0.2177  1 Tc 2.42, 2 Os 2.70
Os 0.5779 0.8416 0.1558  3 Ce 2.59-2.70
Os 0.4221 0.3416 0.8442  3 Ce 2.59-2.70
Tc 0.1518 0.3587 0.3035  1 Ce 2.42
Tc 0.8482 0.8587 0.6965  1 Ce 2.42